ThInNiRh | GGA-PBE | relaxed

## Properties
The value obtained for the density of states at the Fermi level is 2.87 states/eV per cell. The space group is F-43m. The final energy is -0.23209 hartree per atom.

a = 4.811 Å, b = 4.811 Å, c = 4.811 Å
α = 60.00°, β = 60.00°, γ = 60.00°
Positions (direct):
Th 0.250 0.250 0.250
In 0.750 0.750 0.750
Rh 0.500 0.500 0.500
Ni 0.000 0.000 0.000

Na3Al2In9 | GGA-PBE | relaxed

## Properties
The value obtained for the density of states at the Fermi level is 4.55 states/eV per cell. The space group is Immm. The final energy is -0.09564 hartree per atom.

a = 4.765 Å, b = 9.107 Å, c = 9.107 Å
α = 79.13°, β = 74.83°, γ = 74.83°
Positions (direct):
Na 0.000 0.000 0.000
Na 0.290 0.710 0.710
Na 0.710 0.290 0.290
Al 0.500 0.668 0.332
Al 0.500 0.332 0.668
In 0.631 0.740 0.997
In 0.851 0.437 0.861
In 0.369 0.260 0.003
In 0.851 0.861 0.437
In 0.631 0.997 0.740
In 0.369 0.003 0.260
In 0.149 0.563 0.139
In 0.000 0.500 0.500
In 0.149 0.139 0.563

LiPPdAu | GGA-PBE | relaxed

## Properties
The value obtained for the density of states at the Fermi level is 1.75 states/eV per cell. The space group is F-43m. The final energy is -0.15640 hartree per atom.

a = 4.358 Å, b = 4.358 Å, c = 4.358 Å
α = 60.00°, β = 60.00°, γ = 60.00°
Positions (direct):
P 0.250 0.250 0.250
Li 0.750 0.750 0.750
Au 0.000 0.000 0.000
Pd 0.500 0.500 0.500

Ac6HRu2I3 | GGA-PBE | relaxed

## Properties
The value obtained for the density of states at the Fermi level is 3.16 states/eV per cell. The space group is C2/m. The final energy is -0.18388 hartree per atom.

a = 7.432 Å, b = 7.432 Å, c = 9.048 Å
α = 97.88°, β = 97.88°, γ = 120.02°
Positions (direct):
Ac 0.062 0.401 0.185
Ac 0.278 0.278 0.816
Ac 0.722 0.722 0.184
Ac 0.938 0.599 0.815
Ac 0.401 0.062 0.185
Ac 0.599 0.938 0.815
Ru 0.666 0.334 0.000
Ru 0.334 0.666 0.000
I 0.500 0.500 0.500
I 0.170 0.830 0.500
I 0.830 0.170 0.500
H 0.000 0.000 0.000